Record 1
Material: Pr3Dy2Tm6Pu
Method: DFT, PBE-GGA
State: optimized geometry

a = 6.1524 Å, b = 10.6555 Å, c = 11.6397 Å
α = 90.00°, β = 100.15°, γ = 90.00°
Closest atoms and distances in Å follow each position.
Space group C2/m (No. 12)
Symmetry-distinct sites (fractional):
Pr1 0.0000 0.0000 0.0000 [2 per cell]  6 Pr 3.54-3.56, 6 Tm 3.57-3.60
Pr2 0.0000 0.3327 0.0000 [4 per cell]  6 Pr 3.54-3.57, 6 Tm 3.57-3.59
Dy1 0.0000 0.1666 0.5000 [4 per cell]  6 Tm 3.47, 3 Dy 3.55, 3 Pu 3.55
Tm1 0.2458 0.3357 0.7438 [8 per cell]  1 Pu 3.45, 2 Dy 3.47, 6 Tm 3.50-3.58, 3 Pr 3.57-3.59
Tm2 0.2475 0.5000 0.2560 [4 per cell]  1 Pu 3.45, 2 Dy 3.47, 6 Tm 3.50-3.58, 3 Pr 3.57-3.60
Pu1 0.0000 0.5000 0.5000 [2 per cell]  6 Tm 3.45, 6 Dy 3.55

Computed properties:
Its calculated total energy is -5.35 eV per atom. Its calculated formation energy is 0.0446 eV/atom. The calculation puts the calculated volume at 31.3 Å³/atom. The total magnetization comes out at 13.02 Bohr magnetons per cell.

Record 2
Material: LaZrTe
Method: DFT, PBE-GGA
State: optimized geometry

a = 7.1631 Å, b = 7.1631 Å, c = 7.1631 Å
α = 90.00°, β = 90.00°, γ = 90.00°
Closest atoms and distances in Å follow each position.
Space group F-43m (No. 216)
Symmetry-distinct sites (fractional):
La1 0.0000 0.0000 0.0000 [4 per cell]  4 Te 3.10
Zr1 0.0000 0.0000 0.5000 [4 per cell]  4 Te 3.10
Te1 0.2500 0.2500 0.7500 [4 per cell]  4 Zr 3.10, 4 La 3.10

Computed properties:
Its calculated total energy is -5.86 eV per atom. The calculation puts the calculated volume at 30.6 Å³/atom. As for the excess energy over the best structure of this formula in the dataset: 314 meV/atom. As for the uncorrected formation energy: -0.3193 eV/atom. The total magnetization comes out at 0.00 Bohr magnetons per cell.

Record 3
Material: Ho2ZnSi2Rh5
Method: DFT, PBE-GGA
State: optimized geometry

a = 9.7153 Å, b = 9.7153 Å, c = 3.4289 Å
α = 90.00°, β = 90.00°, γ = 90.00°
Closest atoms and distances in Å follow each position.
Space group P4/mbm (No. 127)
Symmetry-distinct sites (fractional):
Ho1 0.1738 0.3262 0.0000 [4 per cell]  3 Si 2.75-2.95, 6 Rh 2.94-3.06
Zn1 0.0000 0.0000 0.0000 [2 per cell]  8 Rh 2.75
Si1 0.1261 0.6261 0.0000 [4 per cell]  6 Rh 2.40-2.44
Rh1 0.0000 0.5000 0.5000 [2 per cell]  4 Si 2.44
Rh2 0.0683 0.7894 0.5000 [8 per cell]  2 Si 2.40

Computed properties:
Its calculated total energy is -6.73 eV per atom. The calculation puts the calculated volume at 16.2 Å³/atom. As for the uncorrected formation energy: -0.9304 eV/atom. The total magnetization comes out at 0.00 Bohr magnetons per cell.

Record 4
Material: PrTlHgRh
Method: DFT, PBE-GGA
State: optimized geometry

a = 7.1976 Å, b = 7.1976 Å, c = 7.1976 Å
α = 90.00°, β = 90.00°, γ = 90.00°
Closest atoms and distances in Å follow each position.
Space group F-43m (No. 216)
Symmetry-distinct sites (fractional):
Pr1 0.0000 0.0000 0.0000 [4 per cell]  4 Rh 3.12, 4 Hg 3.12
Tl1 0.0000 0.0000 0.5000 [4 per cell]  4 Hg 3.12, 4 Rh 3.12
Hg1 0.2500 0.2500 0.2500 [4 per cell]  4 Pr 3.12, 4 Tl 3.12
Rh1 0.2500 0.2500 0.7500 [4 per cell]  4 Tl 3.12, 4 Pr 3.12

Computed properties:
Its calculated total energy is -3.93 eV per atom. Its calculated formation energy is -0.2305 eV/atom. The calculation puts the calculated volume at 23.3 Å³/atom. The total magnetization comes out at 0.00 Bohr magnetons per cell.

Record 5
Material: YTePPt2
Method: DFT, PBE-GGA
State: optimized geometry

a = 4.5240 Å, b = 4.5240 Å, c = 5.5622 Å
α = 90.00°, β = 90.00°, γ = 90.00°
Closest atoms and distances in Å follow each position.
Space group P4/mmm (No. 123)
Symmetry-distinct sites (fractional):
Y1 0.0000 0.0000 0.0000 [1 per cell]  4 Te 3.20
Te1 0.5000 0.5000 0.0000 [1 per cell]  2 P 2.78
P1 0.5000 0.5000 0.5000 [1 per cell]  4 Pt 2.26
Pt1 0.0000 0.5000 0.5000 [2 per cell]  2 P 2.26

Computed properties:
Its calculated total energy is -5.83 eV per atom. The calculation puts the calculated volume at 22.8 Å³/atom. As for the uncorrected formation energy: -0.4099 eV/atom. The total magnetization comes out at 0.00 Bohr magnetons per cell.

Record 6
Material: Ti5GaFe
Method: DFT, PBE-GGA
State: optimized geometry

a = 7.0669 Å, b = 6.7100 Å, c = 9.7529 Å
α = 90.00°, β = 104.80°, γ = 90.00°
Closest atoms and distances in Å follow each position.
Space group C2/c (No. 15)
Symmetry-distinct sites (fractional):
Ti1 0.0000 0.0165 0.2500 [4 per cell]  2 Fe 2.44, 1 Ga 2.67
Ti2 0.1367 0.3543 0.0670 [8 per cell]  1 Fe 2.59, 3 Ti 2.70-2.85, 1 Ga 2.85
Ti3 0.2388 0.3223 0.3762 [8 per cell]  1 Fe 2.27
Ga1 0.0000 0.3813 0.7500 [4 per cell]  7 Ti 2.67-2.85
Fe1 0.0000 0.0000 0.0000 [4 per cell]  4 Ti 2.27-2.44

Computed properties:
Its calculated total energy is -7.38 eV per atom. Its calculated formation energy is -0.0984 eV/atom. The calculation puts the calculated volume at 16.0 Å³/atom. The total magnetization comes out at 0.00 Bohr magnetons per cell.